Record 1
The following is a DFT calculation (PBE-GGA) of BaAc8Ru4 after structural relaxation.

```
BaAc8Ru4
1.0
4.260 0.000 0.923
1.930 10.515 1.382
-0.148 0.068 10.976
Ac Ru Ba
8 4 1
direct
0.153 0.322 0.372 Ac
0.556 0.654 0.235 Ac
0.476 0.350 0.699 Ac
0.850 0.986 0.314 Ac
0.804 0.353 0.038 Ac
0.181 0.018 0.619 Ac
0.227 0.650 0.896 Ac
0.878 0.682 0.562 Ac
0.857 0.507 0.780 Ru
0.175 0.497 0.154 Ru
0.657 0.181 0.505 Ru
0.374 0.822 0.429 Ru
0.516 0.002 0.967 Ba
```

Results
- E_form (meV/atom) = -170
- symmetry = No. 12

---

Record 2
The following is a DFT calculation (PBE-GGA) of Ta4RhCl after structural relaxation.

```
Ta4RhCl
1.0
3.696 -3.754 -1.378
1.344 -3.922 3.530
-1.550 -5.139 -0.918
Ta Cl Rh
4 1 1
direct
0.374 0.374 0.877 Ta
0.374 0.877 0.374 Ta
0.877 0.374 0.374 Ta
0.374 0.374 0.374 Ta
0.750 0.750 0.750 Cl
0.000 0.000 0.000 Rh
```

Results
- formation energy without anion corrections (eV per atom) = 0.79
- symmetry = No. 216

---

Record 3
The following is a DFT calculation (PBE-GGA) of CaCeAs after structural relaxation.

```
CaCeAs
1.0
4.287 0.000 0.000
0.000 4.287 0.000
0.000 0.000 8.466
Ce As Ca
2 2 2
direct
0.500 0.500 0.500 Ce
0.000 0.000 0.500 Ce
0.500 0.000 0.776 As
0.000 0.500 0.224 As
0.500 0.000 0.139 Ca
0.000 0.500 0.861 Ca
```

Results
- E_form (meV/atom) = -897
- symmetry = No. 129

---

Record 4
The following is a DFT calculation (PBE-GGA) of Nd2GaCo after structural relaxation.

```
Nd2GaCo
1.0
3.857 0.000 0.000
1.929 3.341 0.000
1.929 1.114 9.476
Nd Ga Co
2 1 1
direct
0.112 0.112 0.664 Nd
0.888 0.888 0.336 Nd
0.000 0.000 0.000 Ga
0.500 0.500 0.500 Co
```

Results
- E_form (meV/atom) = 161
- symmetry = No. 166

---

Values for total moment, μB/cell, ordered as above
0.000 0.000 1.486 0.000